# 1
# PBE SrRuPb2, relaxed
# formation energy	0.16	eV per atom
# SG	No. 99
# energy	-4.4315	eV/atom
# D(E_F)	2.98	states/eV per cell
# total moment	0.0	Bohr magnetons per cell
data_SrRuPb2
_symmetry_space_group_name_H-M 'P 1'
_symmetry_Int_Tables_number 1
_symmetry_space_group_name_Hall 'P 1'
_cell_length_a 3.656
_cell_length_b 3.656
_cell_length_c 7.971
_cell_angle_alpha 90.00
_cell_angle_beta 90.00
_cell_angle_gamma 90.00
loop_
_atom_site_label
_atom_site_type_symbol
_atom_site_fract_x
_atom_site_fract_y
_atom_site_fract_z
Pb1 Pb 0.000 0.000 0.036
Pb2 Pb 0.500 0.500 0.304
Ru1 Ru 0.000 0.000 0.443
Sr1 Sr 0.500 0.500 0.717

---

# 2
# PBE Sr2RuPb, relaxed
# formation energy	0.13	eV per atom
# SG	No. 122
# energy	-3.9580	eV/atom
# D(E_F)	7.74	states/eV per cell
# total moment	0.0	Bohr magnetons per cell
data_Sr2RuPb
_symmetry_space_group_name_H-M 'P 1'
_symmetry_Int_Tables_number 1
_symmetry_space_group_name_Hall 'P 1'
_cell_length_a 10.898
_cell_length_b 10.898
_cell_length_c 8.147
_cell_angle_alpha 48.02
_cell_angle_beta 48.02
_cell_angle_gamma 90.00
loop_
_atom_site_label
_atom_site_type_symbol
_atom_site_fract_x
_atom_site_fract_y
_atom_site_fract_z
Pb1 Pb 0.000 0.000 0.000
Pb2 Pb 0.750 0.250 0.500
Ru1 Ru 0.500 0.500 0.000
Ru2 Ru 0.250 0.750 0.500
Sr1 Sr 0.462 0.125 0.250
Sr2 Sr 0.288 0.625 0.250
Sr3 Sr 0.375 0.538 0.750
Sr4 Sr 0.875 0.712 0.750

---

# 3
# PBE SrRu2Pb, relaxed
# formation energy	0.73	eV per atom
# SG	No. 12
# energy	-5.2571	eV/atom
# D(E_F)	4.80	states/eV per cell
# total moment	0.0	Bohr magnetons per cell
data_SrRu2Pb
_symmetry_space_group_name_H-M 'P 1'
_symmetry_Int_Tables_number 1
_symmetry_space_group_name_Hall 'P 1'
_cell_length_a 5.736
_cell_length_b 5.610
_cell_length_c 3.109
_cell_angle_alpha 75.66
_cell_angle_beta 86.71
_cell_angle_gamma 119.69
loop_
_atom_site_label
_atom_site_type_symbol
_atom_site_fract_x
_atom_site_fract_y
_atom_site_fract_z
Pb1 Pb 0.500 0.500 0.000
Ru1 Ru 0.000 0.000 0.000
Ru2 Ru 0.500 0.000 0.500
Sr1 Sr 0.000 0.500 0.500

---

# 4
# PBE Sr2RuPb, relaxed
# formation energy	0.23	eV per atom
# SG	No. 123
# energy	-3.8544	eV/atom
# D(E_F)	4.17	states/eV per cell
# total moment	0.2	Bohr magnetons per cell
data_Sr2RuPb
_symmetry_space_group_name_H-M 'P 1'
_symmetry_Int_Tables_number 1
_symmetry_space_group_name_Hall 'P 1'
_cell_length_a 4.956
_cell_length_b 4.956
_cell_length_c 4.538
_cell_angle_alpha 90.00
_cell_angle_beta 90.00
_cell_angle_gamma 90.01
loop_
_atom_site_label
_atom_site_type_symbol
_atom_site_fract_x
_atom_site_fract_y
_atom_site_fract_z
Pb1 Pb 0.500 0.000 0.500
Ru1 Ru 0.000 0.500 0.500
Sr1 Sr 0.000 0.000 0.000
Sr2 Sr 0.500 0.500 0.000